{"formula": "FePPt2", "functional": "PBE-GGA", "state": "relaxed", "ef_kj_per_mol_atoms": -3, "crystal_system": "tetragonal", "energy_ev_per_atom": -6.5224, "sg": "P4/mmm, No. 123", "lattice_angstrom": [[2.868, 0.000, 0.000], [0.000, 2.868, 0.000], [0.000, 0.000, 7.049]], "species": ["Fe", "P", "Pt", "Pt"], "fractional_positions": [[0.000, 0.000, 0.000], [0.000, 0.000, 0.500], [0.500, 0.500, 0.254], [0.500, 0.500, 0.746]]}